Here is an optimized crystal structure of TaRuSe2 from Alexandria. Energies are from GGA-PBE.

CIF file:
```
data_TaRuSe2
_chemical_formula_sum 'Ta2 Ru2 Se4'
_cell_length_a 3.1643
_cell_length_b 4.3495
_cell_length_c 9.6812
_cell_angle_alpha 90.00
_cell_angle_beta 90.00
_cell_angle_gamma 90.00
_symmetry_space_group_name_H-M 'I m m 2'
_symmetry_Int_Tables_number 44
_symmetry_space_group_name_Hall 'I 2 -2'
loop_
_atom_site_label
_atom_site_type_symbol
_atom_site_fract_x
_atom_site_fract_y
_atom_site_fract_z
Ta1 Ta 0.0000 0.0000 0.0000
Ru1 Ru 0.0000 0.5000 0.7637
Se1 Se 0.0000 0.0000 0.4783
Se2 Se 0.0000 0.5000 0.2581
```

Total energy = -6.99 eV/atom
Distance to the lowest polymorph of the same formula = 0.426 eV/atom